i.
Crystalline LaTcIr at its relaxed geometry. Source: Alexandria via LeMat-Bulk, functional PBE.

Cell: 2.9115 2.9115 7.6850 Å, 90.00 90.00 120.00°
Last column: nearest neighbours and their distance in Å.
Positions (direct):
Ir  0.0000  0.0000  0.9659  3 Tc 2.63, 6 Ir 2.91
Tc  0.3333  0.6667  0.7030  3 Ir 2.63, 6 Tc 2.91
La  0.6667  0.3333  0.3311  6 La 2.91

=====

ii.
Crystalline LaTcIr at its relaxed geometry. Source: Alexandria via LeMat-Bulk, functional PBE.

Cell: 4.2445 4.2445 4.5260 Å, 90.00 90.00 120.00°
Last column: nearest neighbours and their distance in Å.
Positions (direct):
Ir  0.0000  0.0000  0.8331  3 Tc 2.45
La  0.6667  0.3333  0.3333  6 Tc 3.33-3.34, 6 Ir 3.33-3.34
Tc  0.3333  0.6667  0.8336  3 Ir 2.45

=====

ii ends up most stable, edging out the next structure by 0.631 eV/atom.

=====

i.
Crystalline LaTcIr at its relaxed geometry. Source: Alexandria via LeMat-Bulk, functional PBE.

Cell: 5.9204 5.9204 5.9204 Å, 151.63 141.16 48.79°
Last column: nearest neighbours and their distance in Å.
Positions (direct):
Tc  0.6234  0.6234  0.0000  4 Ir 2.60, 2 Tc 2.90
La  0.3352  0.3352  0.0000  2 La 2.90, 1 Tc 3.11, 1 Ir 3.17
Ir  0.0414  0.0414  0.0000  4 Tc 2.60, 2 Ir 2.90

=====

ii.
Crystalline LaTcIr at its relaxed geometry. Source: Alexandria via LeMat-Bulk, functional PBE.

Cell: 6.0568 5.9450 3.4136 Å, 75.28 71.69 33.03°
Last column: nearest neighbours and their distance in Å.
Positions (direct):
Tc  0.3748  0.3748  0.6252  4 Ir 2.46-2.71
La  0.6654  0.6654  0.3346  5 Tc 3.19-3.43, 5 Ir 3.20-3.41, 4 La 3.41
Ir  0.9598  0.9598  0.0402  4 Tc 2.46-2.71

=====

iii.
Crystalline LaTcIr at its relaxed geometry. Source: Alexandria via LeMat-Bulk, functional PBE.

Cell: 4.5596 4.5596 4.5596 Å, 60.00 60.00 60.00°
Last column: nearest neighbours and their distance in Å.
Positions (direct):
La  0.7500  0.7500  0.7500  4 Ir 2.79, 4 Tc 2.79
Tc  0.0000  0.0000  0.0000  4 La 2.79
Ir  0.5000  0.5000  0.5000  4 La 2.79

=====

iv.
Crystalline LaTcIr at its relaxed geometry. Source: Alexandria via LeMat-Bulk, functional PBE.

Cell: 6.8399 6.8399 6.8399 Å, 154.75 154.75 36.01°
Last column: nearest neighbours and their distance in Å.
Positions (direct):
Ir  0.0243  0.0243  0.0000  4 Tc 2.61
La  0.3339  0.3339  0.0000  4 La 2.99, 4 Ir 3.26, 4 Tc 3.27
Tc  0.6418  0.6418  0.0000  4 Ir 2.61

=====

i ends up most stable, edging out the next structure by 0.057 eV/atom.

=====

i.
Crystalline LaTcIr2 at its relaxed geometry. Source: Alexandria via LeMat-Bulk, functional PBE.

Cell: 4.9843 4.9843 2.9297 Å, 90.00 90.00 90.00°
Last column: nearest neighbours and their distance in Å.
Positions (direct):
Ir  0.5000  0.5000  0.0000  4 Tc 2.89, 4 La 2.89, 2 Ir 2.93
Ir  0.0000  0.0000  0.0000  4 La 2.89, 4 Tc 2.89, 2 Ir 2.93
Tc  0.0000  0.5000  0.5000  8 Ir 2.89, 2 Tc 2.93
La  0.5000  0.0000  0.5000  8 Ir 2.89, 2 La 2.93

=====

ii.
Crystalline LaTcIr2 at its relaxed geometry. Source: Alexandria via LeMat-Bulk, functional PBE.

Cell: 3.1766 3.1766 7.4566 Å, 90.00 90.00 90.00°
Last column: nearest neighbours and their distance in Å.
Positions (direct):
Ir  0.0000  0.0000  0.9845  4 Tc 2.56, 4 Ir 2.79
Ir  0.5000  0.5000  0.2068  4 Ir 2.79, 1 Tc 2.89, 4 La 3.08
Tc  0.5000  0.5000  0.8187  4 Ir 2.56
La  0.0000  0.0000  0.4900  4 Ir 3.08, 4 La 3.18, 4 Tc 3.32

=====

iii.
Crystalline LaTcIr2 at its relaxed geometry. Source: Alexandria via LeMat-Bulk, functional PBE.

Cell: 2.9445 2.9445 8.1813 Å, 90.00 90.00 90.01°
Last column: nearest neighbours and their distance in Å.
Positions (direct):
Ir  0.0000  0.0000  0.5420  4 Tc 2.69, 4 Ir 2.94
Ir  0.0000  0.0000  0.9580  4 Tc 2.69, 4 Ir 2.94
La  0.5000  0.5000  0.2500  4 La 2.94, 8 Ir 3.17
Tc  0.5000  0.5000  0.7500  8 Ir 2.69, 4 Tc 2.94

=====

iv.
Crystalline LaTcIr2 at its relaxed geometry. Source: Alexandria via LeMat-Bulk, functional PBE.

Cell: 10.0176 10.0176 10.0176 Å, 16.41 16.41 16.41°
Last column: nearest neighbours and their distance in Å.
Positions (direct):
Ir  0.2591  0.2591  0.2591  9 Ir 2.80-2.86
Ir  0.0019  0.0019  0.0019  3 Tc 2.63, 9 Ir 2.80-2.86
La  0.5014  0.5014  0.5014  6 La 2.86, 3 Ir 3.16
Tc  0.7377  0.7377  0.7377  3 Ir 2.63, 6 Tc 2.86

=====

iii ends up most stable, edging out the next structure by 0.229 eV/atom.

=====

i.
Crystalline LaTe2Ir at its relaxed geometry. Source: Alexandria via LeMat-Bulk, functional PBE.

Cell: 5.2282 5.2282 5.2282 Å, 60.00 60.00 60.00°
Last column: nearest neighbours and their distance in Å.
Positions (direct):
La  0.7500  0.7500  0.7500  4 Te 3.20, 4 Ir 3.20
Te  0.0000  0.0000  0.0000  4 Te 3.20, 4 La 3.20
Te  0.2500  0.2500  0.2500  4 Ir 3.20, 4 Te 3.20
Ir  0.5000  0.5000  0.5000  4 Te 3.20, 4 La 3.20

=====

ii.
Crystalline LaTe2Ir at its relaxed geometry. Source: Alexandria via LeMat-Bulk, functional PBE.

Cell: 3.9683 3.9683 7.4891 Å, 90.00 90.00 114.07°
Last column: nearest neighbours and their distance in Å.
Positions (direct):
Ir  0.5000  0.5000  0.2500  4 Te 2.67
Te  0.0000  0.0000  0.4592  2 Ir 2.67
Te  0.0000  0.0000  0.0408  2 Ir 2.67
La  0.5000  0.5000  0.7500  4 Te 3.07

=====

iii.
Crystalline LaTe2Ir at its relaxed geometry. Source: Alexandria via LeMat-Bulk, functional PBE.

Cell: 4.6910 5.8566 4.6782 Å, 71.18 78.95 108.90°
Last column: nearest neighbours and their distance in Å.
Positions (direct):
Te  0.5000  0.0000  0.5000  2 Te 2.98, 2 Ir 3.10, 2 La 3.10
Te  0.0000  0.0000  0.0000  2 Te 2.98, 2 La 3.10, 2 Ir 3.10
Ir  0.0000  0.5000  0.5000  2 La 2.98, 4 Te 3.10
La  0.5000  0.5000  0.0000  2 Ir 2.98, 4 Te 3.10

=====

iv.
Crystalline LaTe2Ir at its relaxed geometry. Source: Alexandria via LeMat-Bulk, functional PBE.

Cell: 4.1072 7.0519 7.9040 Å, 42.01 90.00 90.00°
Last column: nearest neighbours and their distance in Å.
Positions (direct):
Te  0.0000  0.3107  0.4329  2 Ir 2.72
Te  0.0000  0.1893  0.0671  2 Ir 2.72
Ir  0.5000  0.2500  0.2500  2 La 2.71, 4 Te 2.72
La  0.5000  0.7500  0.7500  2 Ir 2.71

=====

iv ends up most stable, edging out the next structure by 0.389 eV/atom.

=====

i.
Crystalline LaTe2Ir at its relaxed geometry. Source: Alexandria via LeMat-Bulk, functional PBE.

Cell: 5.1824 5.1824 5.1824 Å, 60.00 60.00 60.00°
Last column: nearest neighbours and their distance in Å.
Positions (direct):
Ir  0.5000  0.5000  0.5000  8 Te 3.17
Te  0.7500  0.7500  0.7500  4 Ir 3.17, 4 La 3.17
Te  0.2500  0.2500  0.2500  4 La 3.17, 4 Ir 3.17
La  0.0000  0.0000  0.0000  8 Te 3.17

=====

ii.
Crystalline LaTe2Ir at its relaxed geometry. Source: Alexandria via LeMat-Bulk, functional PBE.

Cell: 8.0768 8.0768 6.5898 Å, 52.21 52.21 90.00°
Last column: nearest neighbours and their distance in Å.
Positions (direct):
Te  0.0514  0.6250  0.2500  2 Ir 2.60
Te  0.6986  0.1250  0.2500  2 Ir 2.60
Te  0.8750  0.9486  0.7500  2 Ir 2.60
Te  0.3750  0.3014  0.7500  2 Ir 2.60
Ir  0.7500  0.2500  0.5000  4 Te 2.60
Ir  0.0000  0.0000  0.0000  4 Te 2.60
La  0.5000  0.5000  0.0000  2 Ir 3.29, 8 Te 3.40-3.49
La  0.2500  0.7500  0.5000  2 Ir 3.29, 8 Te 3.40-3.49

=====

iii.
Crystalline LaTe2Ir at its relaxed geometry. Source: Alexandria via LeMat-Bulk, functional PBE.

Cell: 4.9512 4.9526 3.9350 Å, 90.00 90.00 90.00°
Last column: nearest neighbours and their distance in Å.
Positions (direct):
Te  0.0000  0.0000  0.0000  4 Ir 3.16, 4 La 3.16, 4 Te 3.50
Te  0.5000  0.5000  0.0000  4 La 3.16, 4 Ir 3.16, 4 Te 3.50
La  0.0000  0.5000  0.5000  8 Te 3.16, 4 Ir 3.50
Ir  0.5000  0.0000  0.5000  8 Te 3.16, 4 La 3.50

=====

ii ends up most stable, edging out the next structure by 0.273 eV/atom.